DFT (PBEsol) results for an optimized crystal structure of Li4MnSbW2O12.

Cell: 5.059 5.343 7.410 Å, 85.83 89.87 89.96°
Each line ends with the local moment (μB).
Sites, in units of the cell vectors:
Li (0.496, 0.087, 0.771)  0.00
Li (0.500, 0.093, 0.302)  0.00
Li (0.004, 0.556, 0.297)  0.00
Li (0.998, 0.439, 0.708)  0.00
O (0.679, 0.185, 0.066)  0.01
O (0.323, 0.814, 0.931)  0.01
O (0.377, 0.490, 0.239)  0.01
O (0.804, 0.303, 0.445)  0.02
O (0.132, 0.993, 0.254)  0.01
O (0.622, 0.488, 0.759)  0.02
O (0.182, 0.689, 0.552)  0.01
O (0.872, 0.004, 0.751)  0.02
O (0.300, 0.192, 0.554)  0.02
O (0.819, 0.679, 0.069)  0.01
O (0.695, 0.810, 0.440)  0.02
O (0.198, 0.310, 0.925)  0.01
W (0.504, 0.509, 0.000)  0.11
W (0.995, 0.995, 0.503)  0.15
Mn (0.497, 0.506, 0.501)  3.38
Sb (0.002, 0.002, 0.005)  0.01

E_form (uncorrected): -1.988 eV per atom
Space group: P1
Energy: -152.5 eV/f.u.


DFT (PBEsol) results for an optimized crystal structure of Li4MnSi2O7.

Cell: 4.489 5.238 6.788 Å, 99.92 90.00 115.37°
Each line ends with the local moment (μB).
Sites, in units of the cell vectors:
O (0.409, 0.273, 0.390)  0.05
O (0.136, 0.727, 0.610)  0.05
O (0.914, 0.411, 0.156)  0.01
O (0.503, 0.589, 0.844)  0.01
O (0.766, 0.108, 0.731)  0.05
O (0.312, 0.000, 0.000)  0.01
O (0.658, 0.892, 0.269)  0.05
Si (0.433, 0.848, 0.790)  0.01
Si (0.585, 0.152, 0.210)  0.01
Li (0.836, 0.702, 0.062)  0.00
Li (0.705, 0.424, 0.647)  0.00
Li (0.134, 0.298, 0.938)  0.00
Li (0.281, 0.576, 0.353)  0.00
Mn (0.000, 0.000, 0.500)  4.35

Energy above the lowest structure with this stoichiometry: 12 meV/atom
E_form (uncorrected): -2.357 eV per atom
Space group: C2
Energy: -98.9 eV/f.u.


DFT (PBEsol) results for an optimized crystal structure of Li3MnSiO5.

Cell: 4.877 5.413 15.534 Å, 90.00 90.00 90.00°
Each line ends with the local moment (μB).
Sites, in units of the cell vectors:
O (0.104, 0.380, 0.102)  0.00
O (0.106, 0.818, 0.015)  0.00
O (0.606, 0.682, 0.515)  0.00
O (0.106, 0.318, 0.485)  0.00
O (0.161, 0.824, 0.604)  0.07
O (0.093, 0.839, 0.799)  0.04
O (0.606, 0.182, 0.985)  0.00
O (0.608, 0.686, 0.689)  0.08
O (0.161, 0.324, 0.896)  0.07
O (0.093, 0.339, 0.701)  0.04
O (0.661, 0.676, 0.104)  0.07
O (0.661, 0.176, 0.396)  0.07
O (0.108, 0.814, 0.189)  0.08
O (0.108, 0.314, 0.311)  0.08
O (0.104, 0.880, 0.398)  0.00
O (0.593, 0.161, 0.201)  0.04
O (0.608, 0.186, 0.811)  0.08
O (0.604, 0.620, 0.898)  0.00
O (0.604, 0.120, 0.602)  0.00
O (0.593, 0.661, 0.299)  0.04
Li (0.510, 0.825, 0.804)  0.00
Li (0.996, 0.663, 0.910)  0.00
Li (0.496, 0.337, 0.090)  0.00
Li (0.510, 0.325, 0.696)  0.00
Li (0.002, 0.164, 0.005)  0.00
Li (0.010, 0.175, 0.196)  0.00
Li (0.502, 0.336, 0.505)  0.00
Li (0.502, 0.836, 0.995)  0.00
Li (0.996, 0.163, 0.590)  0.00
Li (0.496, 0.837, 0.410)  0.00
Li (0.002, 0.664, 0.495)  0.00
Li (0.010, 0.675, 0.304)  0.00
Si (0.506, 0.833, 0.599)  0.01
Si (0.006, 0.667, 0.099)  0.01
Si (0.006, 0.167, 0.401)  0.01
Si (0.506, 0.333, 0.901)  0.01
Mn (0.009, 0.667, 0.701)  3.52
Mn (0.509, 0.333, 0.299)  3.52
Mn (0.509, 0.833, 0.201)  3.52
Mn (0.009, 0.167, 0.799)  3.52

E_form (uncorrected): -2.197 eV per atom
Space group: Pna2_1
Energy: -69.6 eV/f.u.


DFT (PBEsol) results for an optimized crystal structure of Li3Mn2Si2O8.

Cell: 4.995 6.109 10.916 Å, 90.00 89.64 90.00°
Each line ends with the local moment (μB).
Sites, in units of the cell vectors:
Mn (0.253, 0.972, 0.425)  4.15
Mn (0.253, 0.028, 0.925)  4.15
Mn (0.749, 0.477, 0.081)  3.72
Mn (0.749, 0.523, 0.581)  3.72
O (0.665, 0.454, 0.415)  0.04
O (0.095, 0.768, 0.838)  0.07
O (0.659, 0.267, 0.196)  0.02
O (0.642, 0.992, 0.891)  0.06
O (0.589, 0.707, 0.165)  0.05
O (0.665, 0.546, 0.915)  0.04
O (0.148, 0.488, 0.590)  0.08
O (0.659, 0.733, 0.696)  0.02
O (0.186, 0.039, 0.595)  0.04
O (0.154, 0.734, 0.307)  0.04
O (0.589, 0.293, 0.665)  0.05
O (0.186, 0.961, 0.095)  0.04
O (0.642, 0.008, 0.391)  0.06
O (0.148, 0.512, 0.090)  0.08
O (0.154, 0.266, 0.807)  0.04
O (0.095, 0.232, 0.338)  0.07
Si (0.262, 0.733, 0.163)  0.03
Si (0.767, 0.766, 0.837)  0.03
Si (0.262, 0.267, 0.663)  0.03
Si (0.767, 0.234, 0.337)  0.03
Li (0.262, 0.231, 0.177)  0.00
Li (0.760, 0.261, 0.819)  0.00
Li (0.760, 0.739, 0.319)  0.00
Li (0.262, 0.769, 0.677)  0.00
Li (0.258, 0.482, 0.410)  0.00
Li (0.258, 0.518, 0.910)  0.00

Energy above the lowest structure with this stoichiometry: 9 meV/atom
E_form (uncorrected): -2.169 eV per atom
Space group: Pc
Energy: -111.4 eV/f.u.


Q: Which value of E_form (uncorrected) does entry 4 give?
A: -2.169 eV per atom


Q: Which value of energy does entry 1 give?
A: -152.5 eV/f.u.


Repeat the second record exactly.
DFT (PBEsol) results for an optimized crystal structure of Li4MnSi2O7.

Cell: 4.489 5.238 6.788 Å, 99.92 90.00 115.37°
Each line ends with the local moment (μB).
Sites, in units of the cell vectors:
O (0.409, 0.273, 0.390)  0.05
O (0.136, 0.727, 0.610)  0.05
O (0.914, 0.411, 0.156)  0.01
O (0.503, 0.589, 0.844)  0.01
O (0.766, 0.108, 0.731)  0.05
O (0.312, 0.000, 0.000)  0.01
O (0.658, 0.892, 0.269)  0.05
Si (0.433, 0.848, 0.790)  0.01
Si (0.585, 0.152, 0.210)  0.01
Li (0.836, 0.702, 0.062)  0.00
Li (0.705, 0.424, 0.647)  0.00
Li (0.134, 0.298, 0.938)  0.00
Li (0.281, 0.576, 0.353)  0.00
Mn (0.000, 0.000, 0.500)  4.35

Energy above the lowest structure with this stoichiometry: 12 meV/atom
E_form (uncorrected): -2.357 eV per atom
Space group: C2
Energy: -98.9 eV/f.u.


Q: Which of these has the lowest E_form (uncorrected)?
A: Li4MnSi2O7